#one
BaZrTc2: optimized geometry, GGA-PBE.

Geometry as CIF:
```
data_BaZrTc2
_symmetry_space_group_name_H-M 'P 4/m m m'
_symmetry_Int_Tables_number 123
_symmetry_space_group_name_Hall '-P 4 2'
_cell_length_a 3.581
_cell_length_b 3.581
_cell_length_c 7.679
_cell_angle_alpha 90.00
_cell_angle_beta 90.00
_cell_angle_gamma 90.00
loop_
_atom_site_label
_atom_site_type_symbol
_atom_site_fract_x
_atom_site_fract_y
_atom_site_fract_z
Ba1 Ba 0.000 0.000 0.000
Zr1 Zr 0.000 0.000 0.500
Tc1 Tc 0.500 0.500 0.343
```

Calculated values
total magnetization	0.00	μB per formula unit
crystal system	tetragonal


#two
BaZrTc2: optimized geometry, GGA-PBE.

Geometry as CIF:
```
data_BaZrTc2
_symmetry_space_group_name_H-M 'P 1 m 1'
_symmetry_Int_Tables_number 6
_cell_length_a 3.170
_cell_length_b 3.979
_cell_length_c 7.917
_cell_angle_alpha 90.00
_cell_angle_beta 93.81
_cell_angle_gamma 90.00
loop_
_symmetry_equiv_pos_as_xyz
'x,y,z'
'x,-y,z'
loop_
_atom_site_label
_atom_site_type_symbol
_atom_site_fract_x
_atom_site_fract_y
_atom_site_fract_z
Ba1 Ba 0.000 0.000 0.000
Zr1 Zr 0.288 0.500 0.615
Tc1 Tc 0.467 0.500 0.313
Tc2 Tc 0.826 0.000 0.432
```

Calculated values
total magnetization	0.00	μB per formula unit
crystal system	monoclinic


#three
BaZrTc2: optimized geometry, GGA-PBE.

Geometry as CIF:
```
data_BaZrTc2
_symmetry_space_group_name_H-M 'P m m m'
_symmetry_Int_Tables_number 47
_cell_length_a 3.359
_cell_length_b 4.557
_cell_length_c 5.310
_cell_angle_alpha 90.00
_cell_angle_beta 90.00
_cell_angle_gamma 90.00
loop_
_symmetry_equiv_pos_as_xyz
'x,y,z'
'-x,-y,-z'
'-x,-y,z'
'x,y,-z'
'x,-y,-z'
'-x,y,z'
'-x,y,-z'
'x,-y,z'
loop_
_atom_site_label
_atom_site_type_symbol
_atom_site_fract_x
_atom_site_fract_y
_atom_site_fract_z
Ba1 Ba 0.000 0.000 0.000
Zr1 Zr 0.500 0.000 0.500
Tc1 Tc 0.000 0.500 0.500
Tc2 Tc 0.500 0.500 0.000
```

Calculated values
total magnetization	0.00	μB per formula unit
crystal system	orthorhombic


Relative energies, kJ/mol of atoms: #one 3.5; #two 0.0; #three 52.9.